DFT (PBE) results for PuSiHPt after structural relaxation.

POSCAR file:
```
PuSiHPt
1.0
4.284 0.000 0.000
-2.142 3.710 0.006
0.000 -0.007 3.861
Si Pt Pu H
1 1 1 1
Direct
0.905 0.811 0.810
0.239 0.477 0.810
0.572 0.144 0.310
0.239 0.477 0.310
```

Summary:
DOS at the Fermi energy: 2.899 states/eV/atom
E_tot: -7.9309 eV per atom
Magnetization: 4.94 μB per cell